(1)
# NaHOs2Pt PBE optimized geometry
data_NaHOs2Pt
_chemical_formula_sum 'Na1 H1 Os2 Pt1'
_space_group_name_H-M_alt 'P 4/m m m'
_space_group_IT_number 123
_space_group_name_Hall '-P 4 2'
_cell_length_a 3.8357
_cell_length_b 3.8357
_cell_length_c 4.3630
_cell_angle_alpha 90.00
_cell_angle_beta 90.00
_cell_angle_gamma 90.00
loop_
_atom_site_label
_atom_site_type_symbol
_atom_site_fract_x
_atom_site_fract_y
_atom_site_fract_z
Na1 Na 0.0000 0.0000 0.0000
H1 H 0.5000 0.5000 0.5000
Os1 Os 0.0000 0.5000 0.5000
Pt1 Pt 0.5000 0.5000 0.0000
# DFT total energy = -29.99 eV/f.u.



(2)
# CeTh4Se5 PBE optimized geometry
data_CeTh4Se5
_chemical_formula_sum 'Ce2 Th8 Se10'
_space_group_name_H-M_alt 'I 4/m'
_space_group_IT_number 87
_space_group_name_Hall '-I 4'
_cell_length_a 9.3941
_cell_length_b 9.3941
_cell_length_c 5.9411
_cell_angle_alpha 90.00
_cell_angle_beta 90.00
_cell_angle_gamma 90.00
loop_
_atom_site_label
_atom_site_type_symbol
_atom_site_fract_x
_atom_site_fract_y
_atom_site_fract_z
Ce1 Ce 0.0000 0.0000 0.0000
Th1 Th 0.0991 0.3005 0.5000
Se1 Se 0.0000 0.0000 0.5000
Se2 Se 0.1000 0.2981 0.0000
# Raw formation energy = -36.902 kcal/mol of atoms
# DFT total energy = -69.04 eV/f.u.



(3)
# Cd3BiSb PBE optimized geometry
data_Cd3BiSb
_chemical_formula_sum 'Cd24 Bi8 Sb8'
_space_group_name_H-M_alt 'C 1 2/c 1'
_space_group_IT_number 15
_cell_length_a 12.5798
_cell_length_b 7.4174
_cell_length_c 12.8893
_cell_angle_alpha 90.00
_cell_angle_beta 102.69
_cell_angle_gamma 90.00
loop_
_space_group_symop_operation_xyz
'x,y,z'
'-x,-y,-z'
'-x,y,-z+1/2'
'x,-y,z+1/2'
'x+1/2,y+1/2,z'
'-x+1/2,-y+1/2,-z'
'-x+1/2,y+1/2,-z+1/2'
'x+1/2,-y+1/2,z+1/2'
loop_
_atom_site_label
_atom_site_type_symbol
_atom_site_fract_x
_atom_site_fract_y
_atom_site_fract_z
Cd1 Cd 0.0613 0.1232 0.0797
Cd2 Cd 0.1848 0.0353 0.7998
Cd3 Cd 0.1923 0.3871 0.4165
Bi1 Bi 0.1018 0.3039 0.6226
Sb1 Sb 0.0000 0.3215 0.2500
Sb2 Sb 0.2500 0.2500 0.0000
# Excess energy over the best structure of this formula in the dataset = 3.8 meV per atom
# Raw formation energy = 1.375 kcal/mol of atoms
# DFT total energy = -10.45 eV/f.u.



(4)
# KHf3S PBE optimized geometry
data_KHf3S
_chemical_formula_sum 'K1 Hf3 S1'
_space_group_name_H-M_alt 'P m -3 m'
_space_group_IT_number 221
_space_group_name_Hall '-P 4 2 3'
_cell_length_a 4.9544
_cell_length_b 4.9544
_cell_length_c 4.9544
_cell_angle_alpha 90.00
_cell_angle_beta 90.00
_cell_angle_gamma 90.00
loop_
_atom_site_label
_atom_site_type_symbol
_atom_site_fract_x
_atom_site_fract_y
_atom_site_fract_z
K1 K 0.0000 0.0000 0.0000
Hf1 Hf 0.0000 0.5000 0.5000
S1 S 0.5000 0.5000 0.5000
# Excess energy over the best structure of this formula in the dataset = 0.0 meV per atom
# Raw formation energy = 5.318 kcal/mol of atoms
# DFT total energy = -33.93 eV/f.u.



(5)
# Cd4P PBE optimized geometry
data_Cd4P
_chemical_formula_sum 'Cd8 P2'
_space_group_name_H-M_alt 'I 4/m m m'
_space_group_IT_number 139
_space_group_name_Hall '-I 4 2'
_cell_length_a 3.9787
_cell_length_b 3.9787
_cell_length_c 14.6900
_cell_angle_alpha 90.00
_cell_angle_beta 90.00
_cell_angle_gamma 90.00
loop_
_atom_site_label
_atom_site_type_symbol
_atom_site_fract_x
_atom_site_fract_y
_atom_site_fract_z
Cd1 Cd 0.0000 0.0000 0.0923
Cd2 Cd 0.0000 0.5000 0.2500
P1 P 0.0000 0.0000 0.5000
# Excess energy over the best structure of this formula in the dataset = 81.2 meV per atom
# ΔH_f (0 K) = 0.326 eV per atom
# DFT total energy = -7.44 eV/f.u.



(6)
# Tb4TmSb5 PBE optimized geometry
data_Tb4TmSb5
_chemical_formula_sum 'Tb8 Tm2 Sb10'
_space_group_name_H-M_alt 'I 4/m'
_space_group_IT_number 87
_space_group_name_Hall '-I 4'
_cell_length_a 9.8146
_cell_length_b 9.8146
_cell_length_c 6.2081
_cell_angle_alpha 90.00
_cell_angle_beta 90.00
_cell_angle_gamma 90.00
loop_
_atom_site_label
_atom_site_type_symbol
_atom_site_fract_x
_atom_site_fract_y
_atom_site_fract_z
Tb1 Tb 0.0989 0.6997 0.0000
Tm1 Tm 0.0000 0.0000 0.5000
Sb1 Sb 0.0000 0.0000 0.0000
Sb2 Sb 0.0995 0.7025 0.5000
# Raw formation energy = -26.084 kcal/mol of atoms
# DFT total energy = -54.92 eV/f.u.



(7)
# Eu3AsO PBE optimized geometry
data_Eu3AsO
_chemical_formula_sum 'Eu3 As1 O1'
_space_group_name_H-M_alt 'P m -3 m'
_space_group_IT_number 221
_space_group_name_Hall '-P 4 2 3'
_cell_length_a 4.9146
_cell_length_b 4.9146
_cell_length_c 4.9146
_cell_angle_alpha 90.00
_cell_angle_beta 90.00
_cell_angle_gamma 90.00
loop_
_atom_site_label
_atom_site_type_symbol
_atom_site_fract_x
_atom_site_fract_y
_atom_site_fract_z
Eu1 Eu 0.0000 0.0000 0.5000
As1 As 0.5000 0.5000 0.5000
O1 O 0.0000 0.0000 0.0000
# Raw formation energy = -36.429 kcal/mol of atoms
# DFT total energy = -48.33 eV/f.u.



(8)
# Nd6Tl2Te3Pb PBE optimized geometry
data_Nd6Tl2Te3Pb
_chemical_formula_sum 'Nd12 Tl4 Te6 Pb2'
_space_group_name_H-M_alt 'C 1 2/m 1'
_space_group_IT_number 12
_cell_length_a 20.5114
_cell_length_b 4.5442
_cell_length_c 9.0504
_cell_angle_alpha 90.00
_cell_angle_beta 112.38
_cell_angle_gamma 90.00
loop_
_space_group_symop_operation_xyz
'x,y,z'
'-x,-y,-z'
'-x,y,-z'
'x,-y,z'
'x+1/2,y+1/2,z'
'-x+1/2,-y+1/2,-z'
'-x+1/2,y+1/2,-z'
'x+1/2,-y+1/2,z'
loop_
_atom_site_label
_atom_site_type_symbol
_atom_site_fract_x
_atom_site_fract_y
_atom_site_fract_z
Nd1 Nd 0.0075 0.0000 0.2517
Nd2 Nd 0.1604 0.5000 0.6390
Nd3 Nd 0.1688 0.5000 0.1340
Tl1 Tl 0.1893 0.0000 0.4115
Te1 Te 0.0000 0.5000 0.5000
Te2 Te 0.1642 0.0000 0.8821
Pb1 Pb 0.0000 0.5000 0.0000
# Raw formation energy = -21.539 kcal/mol of atoms
# DFT total energy = -57.68 eV/f.u.



(9)
# AcIn12Ni6 PBE optimized geometry
data_AcIn12Ni6
_chemical_formula_sum 'Ac3 In36 Ni18'
_space_group_name_H-M_alt 'R -3 m'
_space_group_IT_number 166
_space_group_name_Hall '-R 3 2"'
_cell_length_a 12.1466
_cell_length_b 12.1466
_cell_length_c 9.3070
_cell_angle_alpha 90.00
_cell_angle_beta 90.00
_cell_angle_gamma 120.00
loop_
_atom_site_label
_atom_site_type_symbol
_atom_site_fract_x
_atom_site_fract_y
_atom_site_fract_z
Ac1 Ac 0.0000 0.0000 0.0000
In1 In 0.0000 0.3794 0.5000
In2 In 0.0867 0.1734 0.3392
Ni1 Ni 0.0461 0.5231 0.2581
# ΔH_f (0 K) = -0.104 eV per atom
# DFT total energy = -73.64 eV/f.u.



(10)
# SiNiPt PBE optimized geometry
data_SiNiPt
_chemical_formula_sum 'Si1 Ni1 Pt1'
_space_group_name_H-M_alt 'P 3 m 1'
_space_group_IT_number 156
_cell_length_a 3.9044
_cell_length_b 3.9044
_cell_length_c 3.0420
_cell_angle_alpha 90.00
_cell_angle_beta 90.00
_cell_angle_gamma 120.00
loop_
_space_group_symop_operation_xyz
'x,y,z'
'-y,x-y,z'
'-x+y,-x,z'
'-y,-x,z'
'-x+y,y,z'
'x,x-y,z'
loop_
_atom_site_label
_atom_site_type_symbol
_atom_site_fract_x
_atom_site_fract_y
_atom_site_fract_z
Si1 Si 0.0000 0.0000 0.0000
Ni1 Ni 0.6667 0.3333 0.1916
Pt1 Pt 0.3333 0.6667 0.6929
# Raw formation energy = -10.717 kcal/mol of atoms
# DFT total energy = -18.64 eV/f.u.



(11)
# Li2DyZn2Sn2 PBE optimized geometry
data_Li2DyZn2Sn2
_chemical_formula_sum 'Li6 Dy3 Zn6 Sn6'
_space_group_name_H-M_alt 'R -3 m'
_space_group_IT_number 166
_space_group_name_Hall '-R 3 2"'
_cell_length_a 4.4626
_cell_length_b 4.4626
_cell_length_c 24.4698
_cell_angle_alpha 90.00
_cell_angle_beta 90.00
_cell_angle_gamma 120.00
loop_
_atom_site_label
_atom_site_type_symbol
_atom_site_fract_x
_atom_site_fract_y
_atom_site_fract_z
Li1 Li 0.0000 0.0000 0.1415
Dy1 Dy 0.0000 0.0000 0.0000
Zn1 Zn 0.0000 0.0000 0.4450
Sn1 Sn 0.0000 0.0000 0.2597
# ΔH_f (0 K) = -0.414 eV per atom
# DFT total energy = -21.88 eV/f.u.



(12)
# K3Na3Te2S PBE optimized geometry
data_K3Na3Te2S
_chemical_formula_sum 'K3 Na3 Te2 S1'
_space_group_name_H-M_alt 'P -6 2 m'
_space_group_IT_number 189
_space_group_name_Hall 'P -6 -2'
_cell_length_a 8.2556
_cell_length_b 8.2556
_cell_length_c 4.8689
_cell_angle_alpha 90.00
_cell_angle_beta 90.00
_cell_angle_gamma 120.00
loop_
_atom_site_label
_atom_site_type_symbol
_atom_site_fract_x
_atom_site_fract_y
_atom_site_fract_z
K1 K 0.0000 0.5999 0.0000
Na1 Na 0.0000 0.2417 0.5000
Te1 Te 0.3333 0.6667 0.5000
S1 S 0.0000 0.0000 0.0000
# Raw formation energy = -22.438 kcal/mol of atoms
# DFT total energy = -26.42 eV/f.u.